# LaNi3Ge

A relaxed LaNi3Ge crystal (PBE, Alexandria via LeMat-Bulk).

* magnetization: 0.000 μB/f.u.
* VASP energy: -5.53 eV/atom
* energy relative to the elements: -154.2 meV per atom
* crystal system: cubic
* excess energy over the best structure of this formula in the dataset: 0.037 eV per atom

Cell and atoms, written as POSCAR:
```
LaNi3Ge
1.0
4.4860 0.0000 0.0000
0.0000 4.4860 0.0000
0.0000 0.0000 4.4860
Ni Ge La
3 1 1
direct
0.0000 0.0000 0.5000 Ni
0.5000 0.0000 0.0000 Ni
0.0000 0.5000 0.0000 Ni
0.0000 0.0000 0.0000 Ge
0.5000 0.5000 0.5000 La
```